[1]
Crystalline Pr4SiI2N at its relaxed geometry, computed with GGA-PBE.

Output
raw formation energy = -803 kJ/mol of formula units

The structure in CIF format:
```
data_Pr4SiI2N
_cell_length_a 7.102
_cell_length_b 4.083
_cell_length_c 8.231
_cell_angle_alpha 90.00
_cell_angle_beta 107.09
_cell_angle_gamma 90.00
_symmetry_space_group_name_H-M 'P 1 2/m 1'
_symmetry_Int_Tables_number 10
_symmetry_space_group_name_Hall '-P 2y'
loop_
_atom_site_label
_atom_site_type_symbol
_atom_site_fract_x
_atom_site_fract_y
_atom_site_fract_z
_atom_site_occupancy
Pr1 Pr 0.202 0.000 0.177 1
Pr2 Pr 0.235 0.500 0.817 1
Si1 Si 0.500 0.000 0.000 1
I1 I 0.000 0.000 0.500 1
I2 I 0.500 0.500 0.500 1
N1 N 0.000 0.500 0.000 1
```

=====

[2]
Crystalline VCo3Ir at its relaxed geometry, computed with GGA-PBE.

Output
energy above the lowest structure with this stoichiometry = 1588 meV per atom
energy of formation = 1.48 eV per atom

The structure in CIF format:
```
data_VCo3Ir
_cell_length_a 4.476
_cell_length_b 4.476
_cell_length_c 4.476
_cell_angle_alpha 90.00
_cell_angle_beta 90.00
_cell_angle_gamma 90.00
_symmetry_space_group_name_H-M 'P m -3 m'
_symmetry_Int_Tables_number 221
_symmetry_space_group_name_Hall '-P 4 2 3'
loop_
_atom_site_label
_atom_site_type_symbol
_atom_site_fract_x
_atom_site_fract_y
_atom_site_fract_z
_atom_site_occupancy
V1 V 0.000 0.000 0.000 1
Co1 Co 0.000 0.500 0.500 1
Ir1 Ir 0.500 0.500 0.500 1
```

=====

[3]
Crystalline ScTiCu2Sn at its relaxed geometry, computed with GGA-PBE.

Output
energy of formation = 0.97 eV per atom

The structure in CIF format:
```
data_ScTiCu2Sn
_cell_length_a 4.750
_cell_length_b 4.750
_cell_length_c 4.735
_cell_angle_alpha 90.00
_cell_angle_beta 90.00
_cell_angle_gamma 90.00
_symmetry_space_group_name_H-M 'P 4/m m m'
_symmetry_Int_Tables_number 123
_symmetry_space_group_name_Hall '-P 4 2'
loop_
_atom_site_label
_atom_site_type_symbol
_atom_site_fract_x
_atom_site_fract_y
_atom_site_fract_z
_atom_site_occupancy
Sc1 Sc 0.000 0.000 0.000 1
Ti1 Ti 0.000 0.000 0.500 1
Cu1 Cu 0.000 0.500 0.000 1
Sn1 Sn 0.500 0.500 0.500 1
```

=====

[4]
Crystalline Zr2MoW2 at its relaxed geometry, computed with GGA-PBE.

Output
energy above the lowest structure with this stoichiometry = 177 meV per atom
energy of formation = 0.90 eV per atom

The structure in CIF format:
```
data_Zr2MoW2
_cell_length_a 7.488
_cell_length_b 7.488
_cell_length_c 3.435
_cell_angle_alpha 90.00
_cell_angle_beta 90.00
_cell_angle_gamma 90.00
_symmetry_space_group_name_H-M 'P 4/m b m'
_symmetry_Int_Tables_number 127
_symmetry_space_group_name_Hall '-P 4 2ab'
loop_
_atom_site_label
_atom_site_type_symbol
_atom_site_fract_x
_atom_site_fract_y
_atom_site_fract_z
_atom_site_occupancy
Zr1 Zr 0.154 0.346 0.000 1
Mo1 Mo 0.000 0.000 0.000 1
W1 W 0.147 0.647 0.500 1
```

=====

[5]
Crystalline DyEr2Ir2 at its relaxed geometry, computed with GGA-PBE.

Output
energy above the lowest structure with this stoichiometry = 0 meV per atom
energy of formation = -0.82 eV per atom

The structure in CIF format:
```
data_DyEr2Ir2
_cell_length_a 4.7472
_cell_length_b 4.7472
_cell_length_c 5.9744
_cell_angle_alpha 90.00
_cell_angle_beta 90.00
_cell_angle_gamma 120.00
_symmetry_space_group_name_H-M 'P -3 m 1'
_symmetry_Int_Tables_number 164
_symmetry_space_group_name_Hall '-P 3 2"'
loop_
_atom_site_label
_atom_site_type_symbol
_atom_site_fract_x
_atom_site_fract_y
_atom_site_fract_z
_atom_site_occupancy
Dy1 Dy 0.0000 0.0000 0.0000 1
Er1 Er 0.3333 0.6667 0.6631 1
Ir1 Ir 0.3333 0.6667 0.1725 1
```

=====

[6]
Crystalline BeGaAsBr2 at its relaxed geometry, computed with GGA-PBE.

Output
energy above the lowest structure with this stoichiometry = 584 meV per atom
raw formation energy = 304 kJ/mol of formula units

The structure in CIF format:
```
data_BeGaAsBr2
_cell_length_a 5.150
_cell_length_b 5.150
_cell_length_c 5.162
_cell_angle_alpha 90.00
_cell_angle_beta 90.00
_cell_angle_gamma 90.00
_symmetry_space_group_name_H-M 'P 4/m m m'
_symmetry_Int_Tables_number 123
_symmetry_space_group_name_Hall '-P 4 2'
loop_
_atom_site_label
_atom_site_type_symbol
_atom_site_fract_x
_atom_site_fract_y
_atom_site_fract_z
_atom_site_occupancy
Be1 Be 0.000 0.000 0.000 1
Ga1 Ga 0.500 0.500 0.500 1
As1 As 0.500 0.500 0.000 1
Br1 Br 0.000 0.500 0.500 1
```

=====

[7]
Crystalline Pr2SiF at its relaxed geometry, computed with GGA-PBE.

Output
energy above the lowest structure with this stoichiometry = 118 meV per atom
raw formation energy = -548 kJ/mol of formula units

The structure in CIF format:
```
data_Pr2SiF
_cell_length_a 4.0386
_cell_length_b 4.0386
_cell_length_c 21.1136
_cell_angle_alpha 90.00
_cell_angle_beta 90.00
_cell_angle_gamma 120.00
_symmetry_space_group_name_H-M 'R 3 m'
_symmetry_Int_Tables_number 160
_symmetry_space_group_name_Hall 'R 3 -2"'
loop_
_atom_site_label
_atom_site_type_symbol
_atom_site_fract_x
_atom_site_fract_y
_atom_site_fract_z
_atom_site_occupancy
Pr1 Pr 0.0000 0.0000 0.0000 1
Pr2 Pr 0.0000 0.0000 0.1736 1
Si1 Si 0.0000 0.0000 0.5873 1
F1 F 0.0000 0.0000 0.7637 1
```

=====

[8]
Crystalline AsPbS2N at its relaxed geometry, computed with GGA-PBE.

Output
raw formation energy = 656 kJ/mol of formula units

The structure in CIF format:
```
data_AsPbS2N
_cell_length_a 5.240
_cell_length_b 5.240
_cell_length_c 4.235
_cell_angle_alpha 90.00
_cell_angle_beta 90.00
_cell_angle_gamma 90.00
_symmetry_space_group_name_H-M 'P 4/m m m'
_symmetry_Int_Tables_number 123
_symmetry_space_group_name_Hall '-P 4 2'
loop_
_atom_site_label
_atom_site_type_symbol
_atom_site_fract_x
_atom_site_fract_y
_atom_site_fract_z
_atom_site_occupancy
As1 As 0.000 0.000 0.000 1
Pb1 Pb 0.500 0.500 0.500 1
S1 S 0.000 0.500 0.500 1
N1 N 0.500 0.500 0.000 1
```